## TbPaCuAu (GGA-PBE)

Data for a relaxed structure of TbPaCuAu.

Structure (POSCAR):
```
TbPaCuAu
1.0
5.0223 0.0000 0.0000
2.5112 4.3495 0.0000
2.5112 1.4498 4.1007
Pa Au Cu Tb
1 1 1 1
direct
0.0000 0.0000 0.0000
0.2500 0.2500 0.2500
0.7500 0.7500 0.7500
0.5000 0.5000 0.5000
```

Computed properties:
Energy relative to the elements: -0.169 eV/atom
DOS at the Fermi energy: 5.7 states/eV per cell
SG: F-43m, No. 216